DFT (PBE-GGA) results for a geometry-optimized Li14CdRh structure.

Output
energy	-71.682	eV per cell
density	1.82	g/cm3
calculated volume	569.6	Å³/cell

a = 9.539 Å, b = 5.724 Å, c = 10.433 Å
α = 90.00°, β = 90.00°, γ = 90.00°
Space group Amm2 (No. 38)
Asymmetric unit:
Li (0.000, 0.000, 0.000) [2 per cell]
Li (0.000, 0.000, 0.495) [2 per cell]
Li (0.000, 0.249, 0.248) [4 per cell]
Li (0.252, 0.000, 0.839) [4 per cell]
Li (0.267, 0.239, 0.096) [8 per cell]
Li (0.271, 0.000, 0.331) [4 per cell]
Li (0.500, 0.248, 0.936) [4 per cell]
Cd (0.500, 0.000, 0.687) [2 per cell]
Rh (0.500, 0.000, 0.185) [2 per cell]